# 1
A geometry-optimized CrCo2Pd6 structure. Source: the Alexandria database, functional PBE.

The structure belongs to space group Fmmm (No. 69); the cell edges are 3.8700, 11.3092 and 11.7931 Å and the angles 90.00°, 90.00° and 90.00°. The inequivalent atoms are Cr at (0.0000, 0.0000, 0.0000), Co at (0.0000, 0.0000, 0.3196), Pd at (0.0000, 0.1533, 0.5000) and Pd at (0.0000, 0.1591, 0.1647).

The energy of formation comes out at 0.008 eV per atom.

---

# 2
A geometry-optimized MgTl2Pd9 structure. Source: the Alexandria database, functional PBE.

The structure belongs to space group P4/mmm (No. 123); the cell edges are 4.0386, 4.0386 and 12.1734 Å and the angles 90.00°, 90.00° and 90.00°. The inequivalent atoms are Mg at (0.0000, 0.0000, 0.0000), Tl at (0.0000, 0.0000, 0.3301), Pd at (0.0000, 0.5000, 0.1588), Pd at (0.0000, 0.5000, 0.5000), Pd at (0.5000, 0.5000, 0.0000) and Pd at (0.5000, 0.5000, 0.3289).

The energy of formation comes out at -0.274 eV per atom.

---

# 3
A geometry-optimized Ba2Ga6Os structure. Source: the Alexandria database, functional PBE.

The structure belongs to space group P-3m1 (No. 164); the cell edges are 6.6297, 6.6297 and 5.6844 Å and the angles 90.00°, 90.00° and 120.00°. The inequivalent atoms are Ba at (0.3333, 0.6667, 0.3100), Ga at (0.1550, 0.3101, 0.8154) and Os at (0.0000, 0.0000, 0.5000).

The energy of formation comes out at -0.289 eV per atom.

---

# 4
A geometry-optimized Pr3YGa4 structure. Source: the Alexandria database, functional PBE.

The structure belongs to space group P4/mmm (No. 123); the cell edges are 3.6850, 3.6850 and 14.8065 Å and the angles 90.00°, 90.00° and 90.00°. The inequivalent atoms are Pr at (0.0000, 0.0000, 0.0000), Pr at (0.0000, 0.0000, 0.2554), Y at (0.0000, 0.0000, 0.5000), Ga at (0.5000, 0.5000, 0.1278) and Ga at (0.5000, 0.5000, 0.3866).

The energy of formation comes out at -0.564 eV per atom.

---

# 5
A geometry-optimized SiPbCl2 structure. Source: the Alexandria database, functional PBE.

The structure belongs to space group Cmm2 (No. 35); the cell edges are 3.3876, 6.0627 and 10.2371 Å and the angles 90.00°, 90.00° and 90.00°. The inequivalent atoms are Si at (0.0000, 0.0000, 0.0000), Pb at (0.0000, 0.5000, 0.7055), Cl at (0.0000, 0.0000, 0.4961) and Cl at (0.0000, 0.5000, 0.1680).

Its energy above the lowest structure with this stoichiometry is 281 meV/atom. The raw formation energy comes out at -0.1019 eV/atom.

---

# 6
A geometry-optimized EuZrSe2 structure. Source: the Alexandria database, functional PBE.

The structure belongs to space group R-3m (No. 166, hexagonal axes); the cell edges are 4.0366, 4.0366 and 20.2320 Å and the angles 90.00°, 90.00° and 120.00°. The inequivalent atoms are Eu at (0.0000, 0.0000, 0.0000), Zr at (0.0000, 0.0000, 0.5000) and Se at (0.0000, 0.0000, 0.2423).

The raw formation energy comes out at -1.5140 eV/atom.

---

no.,DFT total energy (eV per atom)
1,-6.103
2,-4.696
3,-3.982
4,-4.678
5,-3.308
6,-7.962